# 1
! LaY2InO (GGA-PBE, relaxed); values from VASP
! - E: -32.58 eV per cell
! - Uncorrected formation energy: -1.405 eV/atom
&SYSTEM
  ibrav = 0, nat = 5, ntyp = 4
/
ATOMIC_SPECIES
Y 88.91 Y.upf
In 114.82 In.upf
O 16.00 O.upf
La 138.91 La.upf
CELL_PARAMETERS angstrom
4.847 0.000 0.000
0.000 4.847 0.000
0.000 0.000 5.036
ATOMIC_POSITIONS crystal
Y 0.000 0.500 0.000
Y 0.500 0.000 0.000
In 0.500 0.500 0.500
O 0.000 0.000 0.000
La 0.000 0.000 0.500

# 2
! La12YIn4O3 (GGA-PBE, relaxed); values from VASP
! - E: -108.76 eV per cell
! - Uncorrected formation energy: -0.867 eV/atom
&SYSTEM
  ibrav = 0, nat = 20, ntyp = 4
/
ATOMIC_SPECIES
La 138.91 La.upf
Y 88.91 Y.upf
In 114.82 In.upf
O 16.00 O.upf
CELL_PARAMETERS angstrom
9.023 0.000 0.000
-3.008 8.507 0.000
-3.008 -4.254 7.368
ATOMIC_POSITIONS crystal
La 0.250 0.500 0.750
La 0.729 0.000 0.729
La 0.271 0.000 0.271
La 0.750 0.500 0.250
La 0.729 0.729 0.000
La 0.271 0.271 0.000
La 0.750 0.250 0.500
La 0.250 0.750 0.500
La 0.500 0.250 0.750
La 0.000 0.729 0.729
La 0.500 0.750 0.250
La 0.000 0.271 0.271
Y 0.000 0.000 0.000
In 0.500 0.500 0.500
In 0.000 0.000 0.500
In 0.500 0.000 0.000
In 0.000 0.500 0.000
O 0.500 0.000 0.500
O 0.500 0.500 0.000
O 0.000 0.500 0.500

# 3
! LaInOs2 (GGA-PBE, relaxed); values from VASP
! - E: -29.53 eV per cell
! - ΔH_f (0 K): 0.15 eV/atom
&SYSTEM
  ibrav = 0, nat = 4, ntyp = 3
/
ATOMIC_SPECIES
In 114.82 In.upf
La 138.91 La.upf
Os 190.23 Os.upf
CELL_PARAMETERS angstrom
-1.086 -4.544 -0.398
0.355 -2.140 -4.157
4.606 -3.488 -0.464
ATOMIC_POSITIONS crystal
In 0.750 0.750 0.750
La 0.250 0.250 0.250
Os 0.074 0.074 0.779
Os 0.426 0.426 0.721